# 1
First-principles (PBE) data for an optimized crystal structure of Na2Hf3Cl9, as listed in the Alexandria database.

a = 9.6561 Å, b = 9.6561 Å, c = 9.7473 Å
α = 102.33°, β = 102.33°, γ = 118.28°
Last column: nearest neighbours and their distance in Å.
Fractional positions:
Na1 0.0465 0.7240 0.6481  4 Cl 2.84-3.10
Na2 0.2760 0.9535 0.3519  4 Cl 2.84-3.10
Na3 0.7240 0.0465 0.6481  4 Cl 2.84-3.10
Na4 0.9535 0.2760 0.3519  4 Cl 2.84-3.10
Hf1 0.2670 0.4570 0.8482  5 Cl 2.51-2.64
Hf2 0.3444 0.3444 0.1340  5 Cl 2.51-2.57
Hf3 0.4570 0.2670 0.8482  5 Cl 2.51-2.64
Hf4 0.5430 0.7330 0.1518  5 Cl 2.51-2.64
Hf5 0.6556 0.6556 0.8660  5 Cl 2.51-2.57
Hf6 0.7330 0.5430 0.1518  5 Cl 2.51-2.64
Cl1 0.0119 0.6023 0.3424  1 Hf 2.64, 2 Na 2.84-2.95
Cl2 0.0677 0.2823 0.9648  2 Hf 2.53-2.55
Cl3 0.1821 0.1821 0.2826  1 Hf 2.57
Cl4 0.1817 0.1817 0.6569  2 Hf 2.52
Cl5 0.2823 0.0677 0.9648  2 Hf 2.53-2.55
Cl6 0.2851 0.7149 0.0000  2 Hf 2.51
Cl7 0.3893 0.6029 0.3157  2 Hf 2.51-2.54
Cl8 0.3971 0.6107 0.6843  2 Hf 2.51-2.54
Cl9 0.3977 0.9881 0.6576  1 Hf 2.64, 2 Na 2.84-2.95
Cl10 0.6023 0.0119 0.3424  1 Hf 2.64, 2 Na 2.84-2.95
Cl11 0.6029 0.3893 0.3157  2 Hf 2.51-2.54
Cl12 0.6107 0.3971 0.6843  2 Hf 2.51-2.54
Cl13 0.7149 0.2851 0.0000  2 Hf 2.51
Cl14 0.7177 0.9323 0.0352  2 Hf 2.53-2.55
Cl15 0.8183 0.8183 0.3431  2 Hf 2.52
Cl16 0.8179 0.8179 0.7174  1 Hf 2.57
Cl17 0.9323 0.7177 0.0352  2 Hf 2.53-2.55
Cl18 0.9881 0.3977 0.6576  1 Hf 2.64, 2 Na 2.84-2.95

## Properties
The density of states at the Fermi level is 7.595 states/eV per cell. The calculation puts the formation energy (no corrections) at -1.637 eV/atom.

---

# 2
First-principles (PBE) data for an optimized crystal structure of NaHf2Cl8, as listed in the Alexandria database.

a = 7.4889 Å, b = 7.4889 Å, c = 6.8614 Å
α = 95.70°, β = 95.70°, γ = 56.98°
Last column: nearest neighbours and their distance in Å.
Fractional positions:
Na1 0.0000 0.0000 0.0000  2 Cl 2.67
Hf1 0.2545 0.2545 0.4983  6 Cl 2.36-2.56
Hf2 0.7455 0.7455 0.5017  6 Cl 2.36-2.56
Cl1 0.1065 0.6201 0.6784  2 Hf 2.54-2.56
Cl2 0.1503 0.1503 0.7696  1 Hf 2.43, 1 Na 2.67
Cl3 0.3626 0.3626 0.2461  1 Hf 2.36
Cl4 0.3799 0.8935 0.3216  2 Hf 2.54-2.56
Cl5 0.6201 0.1065 0.6784  2 Hf 2.54-2.56
Cl6 0.6374 0.6374 0.7539  1 Hf 2.36
Cl7 0.8497 0.8497 0.2304  1 Hf 2.43, 1 Na 2.67
Cl8 0.8935 0.3799 0.3216  2 Hf 2.54-2.56

## Properties
The density of states at the Fermi level is 3.075 states/eV per cell. The energy above the most stable polymorph in this dataset is 0 meV per atom. The calculation puts the formation energy (no corrections) at -1.728 eV/atom.